# MgScCl2 (GGA-PBE, relaxed)
# density of states at the Fermi level: 13.01 states/eV per cell
# total moment: 1.049 μB/f.u.
# total energy: -3.594 eV/atom
# E_form (uncorrected): -0.6891 eV per atom
data_MgScCl2
_chemical_formula_sum 'Mg4 Sc4 Cl8'
_space_group_name_H-M_alt 'F m -3 m'
_space_group_IT_number 225
_space_group_name_Hall '-F 4 2 3'
_cell_length_a 6.907
_cell_length_b 6.907
_cell_length_c 6.907
_cell_angle_alpha 90.00
_cell_angle_beta 90.00
_cell_angle_gamma 90.00
loop_
_atom_site_label
_atom_site_fract_x
_atom_site_fract_y
_atom_site_fract_z
Mg1 0.000 0.000 0.000
Sc1 0.000 0.000 0.500
Cl1 0.250 0.250 0.250